[1]
A plane-wave DFT calculation with GGA-PBE was carried out for ZrAlNi after structural relaxation.

Cell lengths 3.884, 5.860, 10.536 Å; angles 90.00, 90.00, 90.00 degrees
Atoms (fractional coordinates):
Ni 0.750 0.926 0.645
Ni 0.250 0.074 0.355
Ni 0.250 0.074 0.145
Ni 0.750 0.926 0.855
Al 0.750 0.324 0.380
Al 0.250 0.676 0.620
Al 0.250 0.676 0.880
Al 0.750 0.324 0.120
Zr 0.750 0.816 0.090
Zr 0.250 0.184 0.910
Zr 0.250 0.184 0.590
Zr 0.750 0.816 0.410

Calculated values
Energy of formation from the pure elements = 0.1 eV/f.u.

=====

[2]
A plane-wave DFT calculation with GGA-PBE was carried out for Ce2GaSi2 after structural relaxation.

Cell lengths 4.192, 5.845, 9.685 Å; angles 83.82, 77.50, 68.99 degrees
Each line ends with the local moment (μB).
Atoms (fractional coordinates):
Ce 0.711 0.225 0.353  0.48
Ce 0.881 0.322 0.915  0.59
Ce 0.289 0.775 0.647  0.48
Ce 0.119 0.678 0.085  0.59
Ga 0.554 0.199 0.693  0.01
Ga 0.446 0.801 0.307  0.01
Si 0.029 0.351 0.591  0.00
Si 0.615 0.884 0.887  -0.01
Si 0.971 0.649 0.409  0.00
Si 0.385 0.116 0.113  -0.01

Calculated values
Formation energy without anion corrections = -14.11 kcal/mol of atoms

=====

[3]
A plane-wave DFT calculation with GGA-PBE was carried out for NiSbOs2 after structural relaxation.

Cell lengths 2.797, 2.797, 9.400 Å; angles 90.00, 90.00, 118.52 degrees
Each line ends with the local moment (μB).
Atoms (fractional coordinates):
Ni 0.500 0.500 0.750  0.07
Os 0.000 0.000 0.970  0.03
Os 0.000 0.000 0.530  0.03
Sb 0.500 0.500 0.250  0.00

Calculated values
Formation energy without anion corrections = 21.91 kcal/mol of atoms

=====

[4]
A plane-wave DFT calculation with GGA-PBE was carried out for GdTiOs4 after structural relaxation.

Cell lengths 5.261, 5.261, 5.261 Å; angles 60.00, 60.00, 60.00 degrees
Each line ends with the local moment (μB).
Atoms (fractional coordinates):
Gd 0.250 0.250 0.250  6.99
Os 0.625 0.625 0.124  -0.10
Os 0.625 0.124 0.625  -0.10
Os 0.625 0.625 0.625  -0.10
Os 0.124 0.625 0.625  -0.10
Ti 0.000 0.000 0.000  0.17

Calculated values
Energy of formation from the pure elements = -0.7 eV/f.u.

=====

[5]
A plane-wave DFT calculation with GGA-PBE was carried out for AcInSb3 after structural relaxation.

Cell lengths 6.520, 6.409, 15.455 Å; angles 90.00, 90.00, 90.00 degrees
Atoms (fractional coordinates):
Ac 0.750 0.496 0.672
Ac 0.250 0.504 0.328
Ac 0.750 0.996 0.328
Ac 0.250 0.004 0.672
In 0.500 0.250 0.101
In 0.000 0.750 0.899
In 0.500 0.750 0.899
In 0.000 0.250 0.101
Sb 0.000 0.250 0.498
Sb 0.500 0.750 0.502
Sb 0.000 0.750 0.502
Sb 0.500 0.250 0.498
Sb 0.250 0.253 0.892
Sb 0.750 0.747 0.108
Sb 0.250 0.753 0.108
Sb 0.750 0.247 0.892
Sb 0.250 0.500 0.735
Sb 0.750 0.500 0.265
Sb 0.250 0.000 0.265
Sb 0.750 0.000 0.735

Calculated values
Distance to the lowest polymorph of the same formula = 0 meV per atom
Formation energy without anion corrections = -10.42 kcal/mol of atoms

=====

[6]
A plane-wave DFT calculation with GGA-PBE was carried out for Ni3H3Au after structural relaxation.

Cell lengths 4.912, 4.912, 4.912 Å; angles 90.00, 90.00, 90.00 degrees
Atoms (fractional coordinates):
Ni 0.000 0.250 0.500
Ni 0.000 0.750 0.500
Ni 0.500 0.000 0.750
Ni 0.750 0.500 0.000
Ni 0.500 0.000 0.250
Ni 0.250 0.500 0.000
Au 0.500 0.500 0.500
Au 0.000 0.000 0.000
H 0.250 0.000 0.500
H 0.000 0.500 0.250
H 0.500 0.750 0.000
H 0.750 0.000 0.500
H 0.000 0.500 0.750
H 0.500 0.250 0.000

Calculated values
Distance to the lowest polymorph of the same formula = 0 meV per atom